(1)
The following is a PBE calculation of a relaxed LaPr2YH crystal, from Alexandria via LeMat-Bulk.

Calculated values
energy: -25.2 eV per cell
spin magnetization: 0.0 μB per formula unit

Cell lengths 5.215, 5.215, 5.123 Å; angles 90.00, 90.00, 90.00 degrees
Space group P4/mmm (No. 123)
Asymmetric unit:
La  0.000  0.000  0.000 [1 per cell]
Pr  0.000  0.500  0.500 [2 per cell]
Y  0.500  0.500  0.000 [1 per cell]
H  0.500  0.500  0.500 [1 per cell]

(2)
The following is a PBE calculation of a relaxed V2SnSe2 crystal, from Alexandria via LeMat-Bulk.

Calculated values
energy above the lowest structure with this stoichiometry: 361 meV/atom
raw formation energy: 54 meV/atom
spin magnetization: 4.3 μB per formula unit

Cell lengths 7.737, 7.737, 3.176 Å; angles 90.00, 90.00, 90.00 degrees
Space group P4/mbm (No. 127)
Asymmetric unit:
V  0.137  0.363  0.000 [4 per cell]
Sn  0.000  0.000  0.500 [2 per cell]
Se  0.140  0.640  0.500 [4 per cell]

Copy entry 2 word for word.
The following is a PBE calculation of a relaxed V2SnSe2 crystal, from Alexandria via LeMat-Bulk.

Calculated values
energy above the lowest structure with this stoichiometry: 361 meV/atom
raw formation energy: 54 meV/atom
spin magnetization: 4.3 μB per formula unit

Cell lengths 7.737, 7.737, 3.176 Å; angles 90.00, 90.00, 90.00 degrees
Space group P4/mbm (No. 127)
Asymmetric unit:
V  0.137  0.363  0.000 [4 per cell]
Sn  0.000  0.000  0.500 [2 per cell]
Se  0.140  0.640  0.500 [4 per cell]